Record 1
## KS2F (PBEsol)

Data for KS2F after structural relaxation.

It has space group Fm-3m (No. 225), with a = 6.9850 Å, b = 6.9850 Å, c = 6.9850 Å, α = 90.00°, β = 90.00° and γ = 90.00°. The distinct sites, in fractional coordinates, are K at (0.0000, 0.0000, 0.0000), S at (0.2500, 0.2500, 0.2500) and F at (0.0000, 0.0000, 0.5000).

Its raw formation energy is 244 meV per atom. For the uncorrected energy, the calculation gives -2.71 eV per atom.

Record 2
## KBa2Re (PBEsol)

Data for KBa2Re after structural relaxation.

It has space group Fm-3m (No. 225), with a = 7.8825 Å, b = 7.8825 Å, c = 7.8825 Å, α = 90.00°, β = 90.00° and γ = 90.00°. The distinct sites, in fractional coordinates, are K at (0.0000, 0.0000, 0.0000), Ba at (0.2500, 0.2500, 0.2500) and Re at (0.0000, 0.0000, 0.5000).

The calculation puts the energy above the most stable polymorph in this dataset at 0.077 eV per atom. For the uncorrected energy, the calculation gives -3.57 eV per atom.

Record 3
## MnSb2Se (PBEsol)

Data for MnSb2Se after structural relaxation.

It has space group Amm2 (No. 38), with a = 3.2218 Å, b = 5.2988 Å, c = 9.7464 Å, α = 90.00°, β = 90.00° and γ = 90.00°. The distinct sites, in fractional coordinates, are Mn at (0.0000, 0.0000, 0.0000), Sb at (0.0000, 0.0000, 0.5011), Sb at (0.5000, 0.0000, 0.2131) and Se at (0.5000, 0.0000, 0.8217).

Its raw formation energy is -29 meV per atom. For the uncorrected energy, the calculation gives -5.71 eV per atom.

Record 4
## K2BaSc (PBEsol)

Data for K2BaSc after structural relaxation.

It has space group Pmmm (No. 47), with a = 4.1126 Å, b = 6.4263 Å, c = 7.1285 Å, α = 90.00°, β = 90.00° and γ = 90.00°. The distinct sites, in fractional coordinates, are K at (0.0000, 0.0000, 0.0000), K at (0.5000, 0.5000, 0.0000), Ba at (0.0000, 0.5000, 0.5000) and Sc at (0.5000, 0.0000, 0.5000).

The calculation puts the energy above the most stable polymorph in this dataset at 0.130 eV per atom. For the uncorrected energy, the calculation gives -2.25 eV per atom.

Record 5
## RbSn2Br5 (PBEsol)

Data for RbSn2Br5 after structural relaxation.

It has space group I4/mcm (No. 140), with a = 8.2131 Å, b = 8.2131 Å, c = 14.7112 Å, α = 90.00°, β = 90.00° and γ = 90.00°. The distinct sites, in fractional coordinates, are Rb at (0.0000, 0.0000, 0.2500), Sn at (0.1685, 0.3315, 0.0000), Br at (0.0000, 0.0000, 0.0000) and Br at (0.1579, 0.3421, 0.3671).

Its raw formation energy is -1022 meV per atom. For the uncorrected energy, the calculation gives -3.38 eV per atom.

Record 6
## KEuTiO4 (PBEsol)

Data for KEuTiO4 after structural relaxation.

It has space group Pbcm (No. 57), with a = 13.0603 Å, b = 5.4397 Å, c = 5.3639 Å, α = 90.00°, β = 90.00° and γ = 90.00°. The distinct sites, in fractional coordinates, are K at (0.0949, 0.0153, 0.2500), Eu at (0.3972, 0.0224, 0.2500), Ti at (0.2500, 0.5068, 0.2500), O at (0.1160, 0.5241, 0.2500), O at (0.2708, 0.2500, 0.0000), O at (0.2904, 0.7500, 0.0000) and O at (0.4345, 0.0553, 0.7500).

Its raw formation energy is -2780 meV per atom. For the uncorrected energy, the calculation gives -8.64 eV per atom.

Look up the uncorrected energy of the fifth one. -3.38 eV per atom

Among the records above, which one has the highest uncorrected energy? K2BaSc

Among the records above, which one has the highest uncorrected energy? K2BaSc